(1)
Compound: RbIn2Ir2
Source: Alexandria via LeMat-Bulk
Functional: GGA-PBE
Structure: optimized geometry

Summary:
N(E_F) (states/eV/atom): 0.268
Total DFT energy (no corrections) (eV per atom): -4.700
Crystal system: tetragonal
Energy of formation from the pure elements (eV/atom): 0.1336
Space group: P4/mbm, No. 127
Magnetization (μB/cell): 0.0

Lattice parameters (Å, degrees): 8.2757 8.2757 3.0314 90.00 90.00 90.00
Sites, in units of the cell vectors:
In 0.1472 0.6472 0.5000
In 0.6472 0.8528 0.5000
In 0.8528 0.3528 0.5000
In 0.3528 0.1472 0.5000
Ir 0.3569 0.8569 0.0000
Ir 0.6431 0.1431 0.0000
Ir 0.1431 0.3569 0.0000
Ir 0.8569 0.6431 0.0000
Rb 0.5000 0.5000 0.0000
Rb 0.0000 0.0000 0.0000

---

(2)
Compound: RbIn2Ir
Source: Alexandria via LeMat-Bulk
Functional: GGA-PBE
Structure: optimized geometry

Summary:
N(E_F) (states/eV/atom): 1.003
Total DFT energy (no corrections) (eV per atom): -3.337
Crystal system: cubic
Energy of formation from the pure elements (eV/atom): 0.4896
Space group: Fm-3m, No. 225
Magnetization (μB/cell): 0.0

Lattice parameters (Å, degrees): 5.1452 5.1452 5.1452 60.00 60.00 60.00
Sites, in units of the cell vectors:
In 0.2500 0.2500 0.2500
In 0.7500 0.7500 0.7500
Rb 0.0000 0.0000 0.0000
Ir 0.5000 0.5000 0.5000